Record 1
# Sr3Ca PBE relaxed
data_Sr3Ca
_chemical_formula_sum 'Sr18 Ca6'
_cell_length_a 8.3259
_cell_length_b 8.3259
_cell_length_c 20.5893
_cell_angle_alpha 90.00
_cell_angle_beta 90.00
_cell_angle_gamma 120.00
_space_group_name_H-M_alt 'P 63/m m c'
_space_group_IT_number 194
_space_group_name_Hall '-P 6c 2c'
loop_
_atom_site_label
_atom_site_type_symbol
_atom_site_fract_x
_atom_site_fract_y
_atom_site_fract_z
Sr1 Sr 0.0029 0.5014 0.2500
Sr2 Sr 0.1666 0.3333 0.5832
Ca1 Ca 0.0000 0.0000 0.2500
Ca2 Ca 0.3333 0.6667 0.0831
# * DFT total energy: -1.750 eV/atom
# * spin magnetization: 0.0 μB per cell

---

Record 2
# Sr3Ca PBE relaxed
data_Sr3Ca
_chemical_formula_sum 'Sr3 Ca1'
_cell_length_a 4.1899
_cell_length_b 4.1899
_cell_length_c 11.6943
_cell_angle_alpha 90.00
_cell_angle_beta 90.00
_cell_angle_gamma 90.00
_space_group_name_H-M_alt 'P 4/m m m'
_space_group_IT_number 123
_space_group_name_Hall '-P 4 2'
loop_
_atom_site_label
_atom_site_type_symbol
_atom_site_fract_x
_atom_site_fract_y
_atom_site_fract_z
Sr1 Sr 0.0000 0.0000 0.0000
Sr2 Sr 0.5000 0.5000 0.2629
Ca1 Ca 0.0000 0.0000 0.5000
# * DFT total energy: -1.752 eV/atom
# * spin magnetization: 0.0 μB per cell

---

Record 3
# Sr5Ca3 PBE relaxed
data_Sr5Ca3
_chemical_formula_sum 'Sr10 Ca6'
_cell_length_a 11.2864
_cell_length_b 11.2864
_cell_length_c 7.4729
_cell_angle_alpha 90.00
_cell_angle_beta 90.00
_cell_angle_gamma 120.00
_space_group_name_H-M_alt 'P 63/m c m'
_space_group_IT_number 193
_space_group_name_Hall '-P 6c 2'
loop_
_atom_site_label
_atom_site_type_symbol
_atom_site_fract_x
_atom_site_fract_y
_atom_site_fract_z
Sr1 Sr 0.0000 0.2383 0.2500
Sr2 Sr 0.3333 0.6667 0.0000
Ca1 Ca 0.0000 0.4099 0.7500
# * DFT total energy: -1.720 eV/atom
# * spin magnetization: 0.0 μB per cell

---

Number 1: formation energy 0.011 eV per atom. Number 2: formation energy 0.010 eV per atom. Number 3: formation energy 0.082 eV per atom.